# 1
Here is a relaxed structure of CdH14C20N2O6F4 from OQMD. Energies are from PBE.

Cell: 6.3427 7.8425 9.8057 Å, 77.62 72.35 84.22°
Closest atoms and distances in Å follow each position.
Element x y z (fractional)
C1 0.9877 0.1126 0.2944  1 H 1.09
O1 0.8203 0.8083 0.2050  1 C 1.26
C2 0.9825 0.2202 0.3898  1 H 1.09
C3 0.0175 0.7798 0.6102  1 H 1.09
C4 0.8647 0.6729 0.9057  1 H 1.09
C5 0.6132 0.7976 0.2604  2 O 1.26
H1 0.6129 0.1502 0.9226  1 O 0.99
F1 0.4135 0.5460 0.7805  1 C 1.36
C6 0.0351 0.5181 0.4264  1 H 1.09
H2 0.3871 0.8498 0.0774  1 O 0.99
H3 0.8071 0.4253 0.8680  1 C 1.09
Cd1 0.0000 0.0000 0.0000  2 N 2.28, 4 O 2.29-2.42
C7 0.0520 0.3925 0.3342  3 C 1.40-1.45
C8 0.5473 0.6446 0.3848  3 C 1.39-1.50
H4 0.9203 0.3493 0.6321  1 C 1.09
O2 0.5390 0.1036 0.7757  1 C 1.26
O3 0.1797 0.1917 0.7950  1 C 1.26
H5 0.0855 0.8281 0.4935  1 C 1.09
N1 0.9394 0.8350 0.8514  2 C 1.34-1.35
H6 0.1929 0.5747 0.1320  1 C 1.09
F2 0.5220 0.8237 0.5558  1 C 1.35
H7 0.9261 0.9811 0.3331  1 C 1.09
H8 0.4358 0.9106 0.9073  1 O 0.99
C9 0.4938 0.3355 0.4723  1 F 1.35, 2 C 1.39
O4 0.4610 0.8964 0.2243  1 C 1.26
C10 0.5062 0.6645 0.5277  1 F 1.35, 2 C 1.39
C11 0.4579 0.5218 0.6416  1 F 1.36, 2 C 1.39
O5 0.6573 0.1683 0.0069  2 H 0.99
C12 0.9649 0.4819 0.5736  1 H 1.09
H9 0.5642 0.0894 0.0927  1 O 0.99
N2 0.0606 0.1650 0.1486  2 C 1.34-1.35
C13 0.1338 0.4439 0.1822  1 H 1.09
F3 0.4780 0.1763 0.4442  1 C 1.35
F4 0.5865 0.4540 0.2195  1 C 1.36
C14 0.1353 0.3271 0.0943  1 H 1.09
H10 0.0739 0.0189 0.6669  1 C 1.09
C15 0.4527 0.3554 0.6152  3 C 1.39-1.50
O6 0.3427 0.8317 0.9931  2 H 0.99
H11 0.9145 0.1719 0.5065  1 C 1.09
C16 0.5421 0.4782 0.3584  1 F 1.36, 2 C 1.39
C17 0.8662 0.5561 0.8178  1 H 1.09
H12 0.0797 0.6507 0.3679  1 C 1.09
C18 0.0123 0.8874 0.7056  1 H 1.09
H13 0.8066 0.6357 0.0238  1 C 1.09
C19 0.9480 0.6075 0.6658  3 C 1.40-1.45
H14 0.1934 0.3643 0.9762  1 C 1.09
C20 0.3868 0.2024 0.7396  2 O 1.26

Summary:
Final energy ... -6.52 eV/atom

# 2
Here is a relaxed structure of CsNaTl4Pt2 from OQMD. Energies are from PBE.

Cell: 8.5052 6.4172 6.4172 Å, 40.98 90.00 90.00°
Closest atoms and distances in Å follow each position.
Element x y z (fractional)
Tl1 0.7916 0.1534 0.1534  3 Pt 2.93-2.98
Na1 0.5000 0.5539 0.5539  3 Pt 3.26-3.55, 4 Tl 3.55
Tl2 0.6900 0.8449 0.8449  3 Pt 2.87-3.03
Cs1 0.0000 0.4453 0.4453  3 Pt 3.32-3.51, 4 Tl 3.67
Tl3 0.2084 0.1534 0.1534  3 Pt 2.93-2.98
Pt1 0.0000 0.7211 0.7211  6 Tl 2.98-3.03, 1 Cs 3.32
Tl4 0.3100 0.8449 0.8449  3 Pt 2.87-3.03
Pt2 0.5000 0.2831 0.2831  6 Tl 2.87-2.93

Summary:
Final energy ... -3.09 eV/atom